DFT (PBE) results for an optimized crystal structure of Sc2SiW.

a b c (Å): 3.0594 3.0594 27.2244
angles (deg): 90.00 90.00 120.00
Closest atoms and distances in Å follow each position.
Sites, in units of the cell vectors:
Sc 0.0000 0.0000 0.2473  3 Si 2.82, 3 W 2.93, 6 Sc 3.06
Sc 0.0000 0.0000 0.7527  3 Si 2.82, 3 W 2.93, 6 Sc 3.06
Sc 0.3333 0.6667 0.4194  3 Si 2.82, 3 W 2.93, 6 Sc 3.06
Sc 0.3333 0.6667 0.9139  3 Si 2.82, 3 W 2.93, 6 Sc 3.06
Sc 0.6667 0.3333 0.0861  3 Si 2.82, 3 W 2.93, 6 Sc 3.06
Sc 0.6667 0.3333 0.5806  3 Si 2.82, 3 W 2.93, 6 Sc 3.06
Si 0.0000 0.0000 0.5000  6 Sc 2.82, 6 Si 3.06
Si 0.3333 0.6667 0.1667  6 Sc 2.82, 6 Si 3.06
Si 0.6667 0.3333 0.8333  6 Sc 2.82, 6 Si 3.06
W 0.0000 0.0000 0.0000  6 Sc 2.93, 6 W 3.06
W 0.3333 0.6667 0.6667  6 Sc 2.93, 6 W 3.06
W 0.6667 0.3333 0.3333  6 Sc 2.93, 6 W 3.06

## Properties
**E_tot**: -0.566 Ry per atom
**Space group**: R-3m
**Energy above the most stable polymorph in this dataset**: 0.2021 eV/atom
**Formation energy from raw total energies**: 54 meV per atom

DFT (PBE) results for an optimized crystal structure of Sc2SiW.

a b c (Å): 3.3502 3.3502 6.6352
angles (deg): 90.00 90.00 90.00
Closest atoms and distances in Å follow each position.
Sites, in units of the cell vectors:
Sc 0.0000 0.0000 0.0000  1 Si 2.83, 4 W 2.95
Sc 0.5000 0.5000 0.3286  1 W 2.70, 4 Si 2.87
Si 0.0000 0.0000 0.5730  4 W 2.60, 5 Sc 2.83-2.87
W 0.5000 0.5000 0.7357  4 Si 2.60, 1 Sc 2.70

## Properties
**E_tot**: -0.581 Ry per atom
**Space group**: P4mm
**Energy above the most stable polymorph in this dataset**: 0.0022 eV/atom
**Formation energy from raw total energies**: -146 meV per atom

DFT (PBE) results for an optimized crystal structure of ScSiW2.

a b c (Å): 3.3278 3.3278 6.0221
angles (deg): 90.00 90.00 90.00
Closest atoms and distances in Å follow each position.
Sites, in units of the cell vectors:
Sc 0.0000 0.0000 0.0000  8 W 2.95, 2 Si 3.01
Si 0.0000 0.0000 0.5000  8 W 2.65
W 0.5000 0.5000 0.2963  1 W 2.45, 4 Si 2.65
W 0.5000 0.5000 0.7037  1 W 2.45, 4 Si 2.65

## Properties
**E_tot**: -0.691 Ry per atom
**Space group**: P4/mmm
**Energy above the most stable polymorph in this dataset**: 0.1335 eV/atom
**Formation energy from raw total energies**: 18 meV per atom

DFT (PBE) results for an optimized crystal structure of ScSiW2.

a b c (Å): 6.3129 6.3129 6.3129
angles (deg): 90.00 90.00 90.00
Closest atoms and distances in Å follow each position.
Sites, in units of the cell vectors:
Sc 0.0000 0.0000 0.0000  8 W 2.73
Sc 0.0000 0.5000 0.5000  8 W 2.73
Sc 0.5000 0.0000 0.5000  8 W 2.73
Sc 0.5000 0.5000 0.0000  8 W 2.73
Si 0.0000 0.0000 0.5000  8 W 2.73
Si 0.0000 0.5000 0.0000  8 W 2.73
Si 0.5000 0.0000 0.0000  8 W 2.73
Si 0.5000 0.5000 0.5000  8 W 2.73
W 0.2500 0.2500 0.2500  4 Sc 2.73, 4 Si 2.73
W 0.2500 0.2500 0.7500  4 Sc 2.73, 4 Si 2.73
W 0.2500 0.7500 0.2500  4 Sc 2.73, 4 Si 2.73
W 0.2500 0.7500 0.7500  4 Sc 2.73, 4 Si 2.73
W 0.7500 0.2500 0.2500  4 Sc 2.73, 4 Si 2.73
W 0.7500 0.2500 0.7500  4 Sc 2.73, 4 Si 2.73
W 0.7500 0.7500 0.2500  4 Sc 2.73, 4 Si 2.73
W 0.7500 0.7500 0.7500  4 Sc 2.73, 4 Si 2.73

## Properties
**E_tot**: -0.662 Ry per atom
**Space group**: Fm-3m
**Energy above the most stable polymorph in this dataset**: 0.5243 eV/atom
**Formation energy from raw total energies**: 409 meV per atom

DFT (PBE) results for an optimized crystal structure of ScSi3W.

a b c (Å): 4.6539 4.6539 4.6539
angles (deg): 90.00 90.00 90.00
Closest atoms and distances in Å follow each position.
Sites, in units of the cell vectors:
Sc 0.0000 0.0000 0.0000  6 Si 2.33
Si 0.0000 0.0000 0.5000  2 Sc 2.33
Si 0.0000 0.5000 0.0000  2 Sc 2.33
Si 0.5000 0.0000 0.0000  2 Sc 2.33
W 0.5000 0.5000 0.5000  12 Si 3.29

## Properties
**E_tot**: -0.392 Ry per atom
**Space group**: Pm-3m
**Energy above the most stable polymorph in this dataset**: 1.3397 eV/atom
**Formation energy from raw total energies**: 1773 meV per atom

DFT (PBE) results for an optimized crystal structure of Sc2SiW.

a b c (Å): 6.5139 6.5139 6.5139
angles (deg): 90.00 90.00 90.00
Closest atoms and distances in Å follow each position.
Sites, in units of the cell vectors:
Sc 0.0000 0.0000 0.0000  4 W 2.82, 4 Sc 2.82
Sc 0.0000 0.5000 0.5000  4 W 2.82, 4 Sc 2.82
Sc 0.2500 0.2500 0.2500  4 Sc 2.82, 4 Si 2.82
Sc 0.2500 0.7500 0.7500  4 Sc 2.82, 4 Si 2.82
Sc 0.5000 0.0000 0.5000  4 W 2.82, 4 Sc 2.82
Sc 0.5000 0.5000 0.0000  4 W 2.82, 4 Sc 2.82
Sc 0.7500 0.2500 0.7500  4 Sc 2.82, 4 Si 2.82
Sc 0.7500 0.7500 0.2500  4 Sc 2.82, 4 Si 2.82
Si 0.0000 0.0000 0.5000  4 Sc 2.82, 4 W 2.82
Si 0.0000 0.5000 0.0000  4 Sc 2.82, 4 W 2.82
Si 0.5000 0.0000 0.0000  4 Sc 2.82, 4 W 2.82
Si 0.5000 0.5000 0.5000  4 Sc 2.82, 4 W 2.82
W 0.2500 0.2500 0.7500  4 Si 2.82, 4 Sc 2.82
W 0.2500 0.7500 0.2500  4 Si 2.82, 4 Sc 2.82
W 0.7500 0.2500 0.2500  4 Si 2.82, 4 Sc 2.82
W 0.7500 0.7500 0.7500  4 Si 2.82, 4 Sc 2.82

## Properties
**E_tot**: -0.569 Ry per atom
**Space group**: F-43m
**Energy above the most stable polymorph in this dataset**: 0.1697 eV/atom
**Formation energy from raw total energies**: 21 meV per atom

DFT (PBE) results for an optimized crystal structure of ScSi2W2.

a b c (Å): 6.9036 6.9036 3.2597
angles (deg): 90.00 90.00 90.00
Closest atoms and distances in Å follow each position.
Sites, in units of the cell vectors:
Sc 0.0000 0.0000 0.0000  4 Si 2.69
Sc 0.5000 0.5000 0.0000  4 Si 2.69
Si 0.1338 0.3662 0.0000  6 W 2.58-2.63, 1 Si 2.61, 2 Sc 2.69
Si 0.3662 0.8662 0.0000  6 W 2.58-2.63, 1 Si 2.61, 2 Sc 2.69
Si 0.6338 0.1338 0.0000  6 W 2.58-2.63, 1 Si 2.61, 2 Sc 2.69
Si 0.8662 0.6338 0.0000  6 W 2.58-2.63, 1 Si 2.61, 2 Sc 2.69
W 0.1554 0.6554 0.5000  6 Si 2.58-2.63
W 0.3446 0.1554 0.5000  6 Si 2.58-2.63
W 0.6554 0.8446 0.5000  6 Si 2.58-2.63
W 0.8446 0.3446 0.5000  6 Si 2.58-2.63

## Properties
**E_tot**: -0.655 Ry per atom
**Space group**: P4/mbm
**Formation energy from raw total energies**: -289 meV per atom

DFT (PBE) results for an optimized crystal structure of Sc2SiW.

a b c (Å): 4.0935 3.6404 10.3973
angles (deg): 90.00 90.00 90.00
Closest atoms and distances in Å follow each position.
Sites, in units of the cell vectors:
Sc 0.0000 0.0000 0.0000  4 Si 2.86, 3 W 2.88-2.97
Sc 0.0000 0.5000 0.5000  4 Si 2.86, 3 W 2.88-2.97
Sc 0.5000 0.0000 0.2991  4 W 2.88, 3 Si 2.91-2.93
Sc 0.5000 0.5000 0.7991  4 W 2.88, 3 Si 2.91-2.93
Si 0.5000 0.0000 0.5806  2 W 2.47
Si 0.5000 0.5000 0.0806  2 W 2.47
W 0.0000 0.0000 0.7142  2 Si 2.47
W 0.0000 0.5000 0.2142  2 Si 2.47

## Properties
**E_tot**: -0.581 Ry per atom
**Space group**: Amm2
**Energy above the most stable polymorph in this dataset**: 0.0023 eV/atom
**Formation energy from raw total energies**: -146 meV per atom

DFT (PBE) results for an optimized crystal structure of ScSiW2.

a b c (Å): 6.3509 6.3509 6.3509
angles (deg): 90.00 90.00 90.00
Closest atoms and distances in Å follow each position.
Sites, in units of the cell vectors:
Sc 0.0000 0.0000 0.0000  4 W 2.75, 4 Si 2.75
Sc 0.0000 0.5000 0.5000  4 W 2.75, 4 Si 2.75
Sc 0.5000 0.0000 0.5000  4 W 2.75, 4 Si 2.75
Sc 0.5000 0.5000 0.0000  4 W 2.75, 4 Si 2.75
Si 0.2500 0.2500 0.7500  4 Sc 2.75, 4 W 2.75
Si 0.2500 0.7500 0.2500  4 Sc 2.75, 4 W 2.75
Si 0.7500 0.2500 0.2500  4 Sc 2.75, 4 W 2.75
Si 0.7500 0.7500 0.7500  4 Sc 2.75, 4 W 2.75
W 0.0000 0.0000 0.5000  4 Si 2.75, 4 W 2.75
W 0.0000 0.5000 0.0000  4 Si 2.75, 4 W 2.75
W 0.2500 0.2500 0.2500  4 W 2.75, 4 Sc 2.75
W 0.2500 0.7500 0.7500  4 W 2.75, 4 Sc 2.75
W 0.5000 0.0000 0.0000  4 Si 2.75, 4 W 2.75
W 0.5000 0.5000 0.5000  4 Si 2.75, 4 W 2.75
W 0.7500 0.2500 0.7500  4 W 2.75, 4 Sc 2.75
W 0.7500 0.7500 0.2500  4 W 2.75, 4 Sc 2.75

## Properties
**E_tot**: -0.695 Ry per atom
**Space group**: F-43m
**Energy above the most stable polymorph in this dataset**: 0.0806 eV/atom
**Formation energy from raw total energies**: -35 meV per atom

DFT (PBE) results for an optimized crystal structure of Sc2SiW.

a b c (Å): 3.7542 4.6093 8.6506
angles (deg): 90.00 90.00 90.00
Closest atoms and distances in Å follow each position.
Sites, in units of the cell vectors:
Sc 0.0000 0.0000 0.0000  4 W 2.90-3.19, 4 Sc 2.97
Sc 0.0000 0.5000 0.3237  4 Si 2.72-3.03, 4 Sc 2.97
Sc 0.5000 0.0000 0.3237  4 Si 2.72-3.03, 4 Sc 2.97
Sc 0.5000 0.5000 0.0000  4 W 2.90-3.19, 4 Sc 2.97
Si 0.0000 0.0000 0.5505  2 W 2.52, 2 Sc 2.72
Si 0.5000 0.5000 0.5505  2 W 2.52, 2 Sc 2.72
W 0.0000 0.5000 0.7443  2 Si 2.52
W 0.5000 0.0000 0.7443  2 Si 2.52

## Properties
**E_tot**: -0.570 Ry per atom
**Space group**: Cmm2
**Energy above the most stable polymorph in this dataset**: 0.1529 eV/atom
**Formation energy from raw total energies**: 5 meV per atom

DFT (PBE) results for an optimized crystal structure of Sc2SiW.

a b c (Å): 6.5655 6.5655 6.5655
angles (deg): 90.00 90.00 90.00
Closest atoms and distances in Å follow each position.
Sites, in units of the cell vectors:
Sc 0.2500 0.2500 0.2500  4 W 2.84, 4 Si 2.84
Sc 0.2500 0.2500 0.7500  4 W 2.84, 4 Si 2.84
Sc 0.2500 0.7500 0.2500  4 W 2.84, 4 Si 2.84
Sc 0.2500 0.7500 0.7500  4 W 2.84, 4 Si 2.84
Sc 0.7500 0.2500 0.2500  4 W 2.84, 4 Si 2.84
Sc 0.7500 0.2500 0.7500  4 W 2.84, 4 Si 2.84
Sc 0.7500 0.7500 0.2500  4 W 2.84, 4 Si 2.84
Sc 0.7500 0.7500 0.7500  4 W 2.84, 4 Si 2.84
Si 0.0000 0.0000 0.0000  8 Sc 2.84
Si 0.0000 0.5000 0.5000  8 Sc 2.84
Si 0.5000 0.0000 0.5000  8 Sc 2.84
Si 0.5000 0.5000 0.0000  8 Sc 2.84
W 0.0000 0.0000 0.5000  8 Sc 2.84
W 0.0000 0.5000 0.0000  8 Sc 2.84
W 0.5000 0.0000 0.0000  8 Sc 2.84
W 0.5000 0.5000 0.5000  8 Sc 2.84

## Properties
**E_tot**: -0.576 Ry per atom
**Space group**: Fm-3m
**Energy above the most stable polymorph in this dataset**: 0.0712 eV/atom
**Formation energy from raw total energies**: -77 meV per atom

DFT (PBE) results for an optimized crystal structure of ScSiW.

a b c (Å): 3.4467 4.6345 12.6343
angles (deg): 90.00 90.00 90.00
Closest atoms and distances in Å follow each position.
Sites, in units of the cell vectors:
Sc 0.0000 0.0000 0.0000  2 Si 2.78, 2 W 2.88, 4 Sc 2.89
Sc 0.0000 0.5000 0.5000  2 Si 2.78, 2 W 2.88, 4 Sc 2.89
Sc 0.5000 0.0000 0.5000  2 Si 2.78, 2 W 2.88, 4 Sc 2.89
Sc 0.5000 0.5000 0.0000  2 Si 2.78, 2 W 2.88, 4 Sc 2.89
Si 0.0000 0.0000 0.6727  2 W 2.51, 2 Sc 2.78
Si 0.0000 0.5000 0.1727  2 W 2.51, 2 Sc 2.78
Si 0.5000 0.0000 0.1727  2 W 2.51, 2 Sc 2.78
Si 0.5000 0.5000 0.6727  2 W 2.51, 2 Sc 2.78
W 0.0000 0.0000 0.3175  2 Si 2.51
W 0.0000 0.5000 0.8175  2 Si 2.51
W 0.5000 0.0000 0.8175  2 Si 2.51
W 0.5000 0.5000 0.3175  2 Si 2.51

## Properties
**E_tot**: -0.609 Ry per atom
**Space group**: Fmm2
**Formation energy from raw total energies**: -47 meV per atom